This record from Alexandria describes an optimized crystal structure of Cd2FePtO6. The functional is PBE with a Hubbard U.

Values from the calculation:
As for the mass density: 8.1 Mg/m³. For the total magnetization, the calculation gives 9.742 Bohr magnetons per cell. Its symmetry is P2_1/c. For the volume, the calculation gives 11.72 A^3/atom. Its total DFT energy (no corrections) is -104.4 eV for the cell shown.

abc: 5.4465 5.5214 7.7951
angles: 90.00 89.85 90.00
With the nearest neighbours (Å) after each atom.
Sites, in units of the cell vectors:
O  0.8002  0.8005  0.5543  1 Pt 2.02, 1 Fe 2.03
Pt  0.0000  0.5000  0.0000  6 O 2.01-2.02
Cd  0.5104  0.5459  0.7521  4 O 2.26-2.36
Pt  0.5000  0.0000  0.5000  6 O 2.01-2.02
O  0.1998  0.1995  0.4457  1 Pt 2.02, 1 Fe 2.03
O  0.8041  0.7985  0.9438  1 Pt 2.01, 1 Fe 2.04
O  0.3958  0.9586  0.7474  1 Pt 2.02, 1 Fe 2.06, 1 Cd 2.26
Cd  0.9896  0.0459  0.7479  4 O 2.26-2.36
Cd  0.0104  0.9541  0.2521  4 O 2.26-2.36
Fe  0.0000  0.5000  0.5000  6 O 2.03-2.06
O  0.6042  0.0414  0.2526  1 Pt 2.02, 1 Fe 2.06, 1 Cd 2.26
O  0.8958  0.5414  0.2474  1 Pt 2.02, 1 Fe 2.06, 1 Cd 2.26
O  0.3002  0.6995  0.0543  1 Pt 2.02, 1 Fe 2.03
Cd  0.4896  0.4541  0.2479  4 O 2.26-2.36
Fe  0.5000  0.0000  0.0000  6 O 2.03-2.06
O  0.6998  0.3005  0.9457  1 Pt 2.02, 1 Fe 2.03
O  0.6959  0.2985  0.5562  1 Pt 2.01, 1 Fe 2.04
O  0.1042  0.4586  0.7526  1 Pt 2.02, 1 Fe 2.06, 1 Cd 2.26
O  0.1959  0.2015  0.0562  1 Pt 2.01, 1 Fe 2.04
O  0.3041  0.7015  0.4438  1 Pt 2.01, 1 Fe 2.04